5
Lattice="-1.204 4.099 1.925 -1.948 1.330 -4.049 -4.088 -1.841 1.362" Properties=species:S:1:pos:R:3 comment="PBE MnPt3Se, relaxed" dft_energy_ev_per_atom=-5.577 relative_energy_mev_per_atom=0.0 density_g_cm3=11.61 crystal_system=cubic e_form_raw_ev_per_atom=0.5784 pbc="T T T"
Pt -0.974 0.665 -2.025
Mn -3.620 1.794 -0.381
Pt -2.044 -0.920 0.681
Se 0.000 0.000 0.000
Pt -0.602 2.049 0.963